No. 1
Density functional theory data (PBE-GGA) for an optimized crystal structure of YHg2Ge2.

abc: 7.5064 7.5064 4.1319
angles: 90.00 90.00 90.00
Fractional positions:
Ge1 0.1207 0.3793 0.0000
Ge2 0.3793 0.8793 0.0000
Ge3 0.8793 0.6207 0.0000
Ge4 0.6207 0.1207 0.0000
Hg1 0.1789 0.6789 0.5000
Hg2 0.6789 0.8211 0.5000
Hg3 0.3211 0.1789 0.5000
Hg4 0.8211 0.3211 0.5000
Y1 0.5000 0.5000 0.0000
Y2 0.0000 0.0000 0.0000

The value obtained for the density of states at the Fermi level is 0.667 states/eV/atom. As for the space group: P4/mbm (127). The formation energy from the elements comes out at -104 meV/atom. Its magnetization is 0.000 μB per cell. Its theoretical density is 9.06 g/cm3. The calculation puts the energy above the lowest structure with this stoichiometry at 0.014 eV per atom.

No. 2
Density functional theory data (PBE-GGA) for an optimized crystal structure of YZnHgGe2.

abc: 5.2365 4.8149 5.2365
angles: 90.00 90.00 90.00
Fractional positions:
Hg1 0.0000 0.0000 0.0000
Ge1 0.5000 0.0000 0.0000
Ge2 0.0000 0.0000 0.5000
Y1 0.5000 0.5000 0.5000
Zn1 0.0000 0.5000 0.0000

The value obtained for the density of states at the Fermi level is 0.499 states/eV/atom. As for the space group: P4/mmm (123). The formation energy from the elements comes out at 420 meV/atom. Its magnetization is 0.000 μB per cell. Its theoretical density is 6.29 g/cm3.

No. 3
Density functional theory data (PBE-GGA) for an optimized crystal structure of YZrHg2Ge.

abc: 5.0920 5.3119 5.0920
angles: 90.00 90.00 90.00
Each line ends with the local moment (μB).
Fractional positions:
Ge1 0.0000 0.0000 0.0000  -0.02
Hg1 0.0000 0.0000 0.5000  -0.01
Hg2 0.5000 0.0000 0.0000  0.00
Y1 0.0000 0.5000 0.0000  0.12
Zr1 0.5000 0.5000 0.5000  0.76

The value obtained for the density of states at the Fermi level is 0.589 states/eV/atom. As for the space group: P4/mmm (123). The formation energy from the elements comes out at 504 meV/atom. Its magnetization is 1.357 μB per cell. Its theoretical density is 7.88 g/cm3.

No. 4
Density functional theory data (PBE-GGA) for an optimized crystal structure of Yb2HgGe.

abc: 5.1882 5.1882 5.1882
angles: 60.00 60.00 60.00
Fractional positions:
Yb1 0.7500 0.7500 0.7500
Yb2 0.2500 0.2500 0.2500
Ge1 0.5000 0.5000 0.5000
Hg1 0.0000 0.0000 0.0000

The value obtained for the density of states at the Fermi level is 10.378 states/eV/atom. As for the space group: Fm-3m (225). The formation energy from the elements comes out at -666 meV/atom. Its magnetization is 0.000 μB per cell. Its theoretical density is 10.41 g/cm3.